First-principles (GGA-PBEsol) data for an optimized crystal structure of Ba2MgCu, as listed in the Alexandria database.

Cell: 4.3952 4.3952 27.9840 Å, 90.00 90.00 120.00°
Space group R-3m (No. 166, hexagonal axes)
Unique sites:
Ba (0.0000, 0.0000, 0.2339)
Mg (0.0000, 0.0000, 0.0000)
Cu (0.0000, 0.0000, 0.5000)

Crystal system: trigonal
Energy of formation in eV/f.u.: 0.8
Uncorrected energy in eV/atom: -2.399



First-principles (GGA-PBEsol) data for an optimized crystal structure of Ba2MgCu, as listed in the Alexandria database.

Cell: 3.7715 3.7715 9.3673 Å, 90.00 90.00 90.00°
Space group P4mm (No. 99)
Unique sites:
Ba (0.0000, 0.0000, 0.0000)
Ba (0.5000, 0.5000, 0.3938)
Mg (0.5000, 0.5000, 0.7386)
Cu (0.0000, 0.0000, 0.6235)

Crystal system: tetragonal
Energy of formation in eV/f.u.: 0.4
Uncorrected energy in eV/atom: -2.492



First-principles (GGA-PBEsol) data for an optimized crystal structure of BaMg3Cu, as listed in the Alexandria database.

Cell: 5.0742 5.0742 5.0742 Å, 90.00 90.00 90.00°
Space group Pm-3m (No. 221)
Unique sites:
Ba (0.0000, 0.0000, 0.0000)
Mg (0.0000, 0.5000, 0.5000)
Cu (0.5000, 0.5000, 0.5000)

Crystal system: cubic
Energy of formation in eV/f.u.: -0.1
Uncorrected energy in eV/atom: -2.346



First-principles (GGA-PBEsol) data for an optimized crystal structure of Ba2MgCu, as listed in the Alexandria database.

Cell: 4.7293 4.8649 12.5398 Å, 90.00 90.00 90.00°
Space group Amm2 (No. 38)
Unique sites:
Ba (0.0000, 0.0000, 0.0000)
Ba (0.5000, 0.0000, 0.2864)
Mg (0.5000, 0.0000, 0.5882)
Cu (0.0000, 0.0000, 0.6947)

Crystal system: orthorhombic
Energy of formation in eV/f.u.: 0.2
Uncorrected energy in eV/atom: -2.528